Below is an optimized crystal structure of La4PrDy5, with properties calculated at the PBE level.

a = 3.566 Å, b = 11.533 Å, c = 8.829 Å
α = 90.41°, β = 101.65°, γ = 90.00°
Fractional positions:
La: 0.661 0.249 0.322
La: 0.339 0.751 0.678
La: 0.034 0.747 0.067
La: 0.966 0.253 0.933
Pr: 0.500 0.000 0.000
Dy: 0.500 0.500 0.000
Dy: 0.174 0.948 0.349
Dy: 0.173 0.546 0.345
Dy: 0.827 0.454 0.655
Dy: 0.826 0.052 0.651

Values from the calculation:
energy above the lowest structure with this stoichiometry: 170 meV/atom
size of the total moment: 0.000 μB/atom
ΔH_f (0 K): 0.193 eV/atom
space group: C2/m, No. 12

---

Below is an optimized crystal structure of PmCdCu, with properties calculated at the PBE level.

a = 3.474 Å, b = 4.739 Å, c = 4.739 Å
α = 120.00°, β = 90.00°, γ = 90.00°
Fractional positions:
Cu: 0.166 0.000 0.000
Pm: 0.667 0.667 0.333
Cd: 0.167 0.333 0.667

Values from the calculation:
energy above the lowest structure with this stoichiometry: 65 meV/atom
size of the total moment: 0.000 μB/atom
ΔH_f (0 K): -0.212 eV/atom
space group: P-6m2, No. 187

---

Below is an optimized crystal structure of Li4ZnGa, with properties calculated at the PBE level.

a = 4.414 Å, b = 6.167 Å, c = 7.187 Å
α = 90.00°, β = 107.88°, γ = 90.00°
Fractional positions:
Zn: 0.667 0.703 0.334
Zn: 0.333 0.203 0.666
Li: 0.325 0.687 0.650
Li: 0.675 0.187 0.350
Li: 0.991 0.206 0.982
Li: 0.484 0.946 0.969
Li: 0.516 0.446 0.031
Li: 0.824 0.448 0.648
Li: 0.009 0.706 0.018
Li: 0.176 0.948 0.352
Ga: 0.838 0.944 0.676
Ga: 0.162 0.444 0.324

Values from the calculation:
energy above the lowest structure with this stoichiometry: 9 meV/atom
size of the total moment: 0.000 μB/atom
ΔH_f (0 K): -0.208 eV/atom
space group: Cmc2_1, No. 36

---

Below is an optimized crystal structure of CaYSc2Ru, with properties calculated at the PBE level.

a = 5.128 Å, b = 5.128 Å, c = 5.408 Å
α = 90.00°, β = 90.00°, γ = 90.00°
Fractional positions:
Sc: 0.500 0.000 0.000
Sc: 0.000 0.500 0.000
Y: 0.000 0.000 0.500
Ca: 0.500 0.500 0.500
Ru: 0.000 0.000 0.000

Values from the calculation:
size of the total moment: 0.000 μB/atom
ΔH_f (0 K): -0.142 eV/atom
space group: P4/mmm, No. 123

---

Below is an optimized crystal structure of Rb2InGe, with properties calculated at the PBE level.

a = 4.934 Å, b = 4.934 Å, c = 13.071 Å
α = 79.12°, β = 79.12°, γ = 90.00°
Fractional positions:
Ge: 0.250 0.750 0.500
Ge: 0.500 0.500 0.000
Rb: 0.875 0.870 0.750
Rb: 0.620 0.125 0.250
Rb: 0.375 0.380 0.750
Rb: 0.130 0.625 0.250
In: 0.750 0.250 0.500
In: 0.000 0.000 0.000

Values from the calculation:
energy above the lowest structure with this stoichiometry: 466 meV/atom
size of the total moment: 0.000 μB/atom
ΔH_f (0 K): 0.432 eV/atom
space group: I-42d, No. 122

---

Below is an optimized crystal structure of NaTb2Nd3S6, with properties calculated at the PBE level.

a = 6.932 Å, b = 6.932 Å, c = 6.990 Å
α = 99.53°, β = 99.53°, γ = 120.11°
Fractional positions:
S: 0.080 0.416 0.241
S: 0.416 0.080 0.241
S: 0.920 0.584 0.759
S: 0.744 0.744 0.235
S: 0.256 0.256 0.765
S: 0.584 0.920 0.759
Nd: 0.837 0.163 0.500
Nd: 0.500 0.500 0.500
Nd: 0.163 0.837 0.500
Tb: 0.666 0.334 0.000
Tb: 0.334 0.666 0.000
Na: 0.000 0.000 0.000

Values from the calculation:
size of the total moment: 0.000 μB/atom
calculated total energy: -6.09 eV per atom
space group: C2/m, No. 12

---

Below is an optimized crystal structure of Ho5NiAg, with properties calculated at the PBE level.

a = 6.437 Å, b = 6.437 Å, c = 11.085 Å
α = 71.51°, β = 71.51°, γ = 62.42°
Fractional positions:
Ho: 0.543 0.211 0.038
Ho: 0.058 0.400 0.861
Ho: 0.942 0.600 0.139
Ho: 0.007 0.993 0.250
Ho: 0.600 0.942 0.639
Ho: 0.993 0.007 0.750
Ho: 0.457 0.789 0.962
Ho: 0.211 0.543 0.538
Ho: 0.789 0.457 0.462
Ho: 0.400 0.058 0.361
Ni: 0.000 0.000 0.000
Ni: 0.000 0.000 0.500
Ag: 0.517 0.483 0.750
Ag: 0.483 0.517 0.250

Values from the calculation:
size of the total moment: 0.000 μB/atom
ΔH_f (0 K): -0.060 eV/atom
space group: C2/c, No. 15

---

Below is an optimized crystal structure of Ca2CdPd2, with properties calculated at the PBE level.

a = 5.691 Å, b = 5.691 Å, c = 5.691 Å
α = 132.95°, β = 117.21°, γ = 82.03°
Fractional positions:
Cd: 0.000 0.000 0.000
Ca: 0.298 0.798 0.500
Ca: 0.702 0.202 0.500
Pd: 0.730 0.500 0.230
Pd: 0.270 0.500 0.770

Values from the calculation:
size of the total moment: 0.000 μB/atom
ΔH_f (0 K): -0.666 eV/atom
space group: Immm, No. 71

---

Which formula does entry 1 have?
La4PrDy5